## i
{
  "formula": "Rb3BiAs",
  "functional": "PBE-GGA",
  "state": "relaxed",
  "cell": [[8.4798, 0.6460, 0.0240], [-1.6987, 8.3330, -0.0240], [-3.6877, -4.2651, 6.7437]],
  "species": ["Rb", "Rb", "Rb", "Rb", "Rb", "Rb", "Bi", "Bi", "As", "As"],
  "fractional_positions": [[0.8466, 0.0359, 0.2741], [0.2382, 0.4275, 0.2741], [0.7618, 0.5725, 0.7259], [0.7066, 0.4393, 0.1459], [0.1534, 0.9641, 0.7259], [0.2934, 0.5607, 0.8541], [0.7012, 0.0593, 0.7605], [0.2988, 0.9407, 0.2395], [0.5914, 0.7876, 0.3790], [0.4086, 0.2124, 0.6210]]
}



## ii
{
  "formula": "Rb3BiAs",
  "functional": "PBE-GGA",
  "state": "relaxed",
  "cell": [[6.6249, 0.0000, 0.0000], [0.0000, 6.6249, 0.0000], [0.0000, 0.0000, 6.6249]],
  "species": ["As", "Bi", "Rb", "Rb", "Rb"],
  "fractional_positions": [[0.0000, 0.0000, 0.0000], [0.5000, 0.5000, 0.5000], [0.0000, 0.5000, 0.0000], [0.0000, 0.0000, 0.5000], [0.5000, 0.0000, 0.0000]]
}



In terms of stability, i leads; the second structure lies 260 meV/atom higher.



## i
{
  "formula": "RbBiAs3",
  "functional": "PBE-GGA",
  "state": "relaxed",
  "cell": [[5.5044, 0.0000, 0.0000], [0.0000, 5.5044, 0.0000], [0.0000, 0.0000, 5.5044]],
  "species": ["As", "As", "As", "Bi", "Rb"],
  "fractional_positions": [[0.0000, 0.5000, 0.0000], [0.0000, 0.0000, 0.5000], [0.5000, 0.0000, 0.0000], [0.5000, 0.5000, 0.5000], [0.0000, 0.0000, 0.0000]]
}



## ii
{
  "formula": "RbBiAs3",
  "functional": "PBE-GGA",
  "state": "relaxed",
  "cell": [[5.6091, 0.0000, 0.0000], [0.0000, 5.6091, 0.0000], [0.0000, 0.0000, 5.6091]],
  "species": ["As", "As", "As", "Bi", "Rb"],
  "fractional_positions": [[0.0000, 0.5000, 0.0000], [0.0000, 0.0000, 0.5000], [0.5000, 0.0000, 0.0000], [0.0000, 0.0000, 0.0000], [0.5000, 0.5000, 0.5000]]
}



In terms of stability, ii leads; the second structure lies 1035 meV/atom higher.



## i
{
  "formula": "RbBi2As2",
  "functional": "PBE-GGA",
  "state": "relaxed",
  "cell": [[-4.0240, -3.4489, 1.4416], [3.7292, -3.5586, 1.8960], [-0.4094, -1.0855, 6.7228]],
  "species": ["As", "As", "Bi", "Bi", "Rb"],
  "fractional_positions": [[0.7500, 0.2500, 0.5000], [0.2500, 0.7500, 0.5000], [0.3460, 0.3460, 0.3080], [0.6540, 0.6540, 0.6921], [0.0000, 0.0000, 0.0000]]
}



## ii
{
  "formula": "RbBi2As2",
  "functional": "PBE-GGA",
  "state": "relaxed",
  "cell": [[8.7488, 0.0000, 0.0000], [0.0000, 8.7488, 0.0000], [0.0000, 0.0000, 3.9560]],
  "species": ["As", "As", "As", "As", "Bi", "Bi", "Bi", "Bi", "Rb", "Rb"],
  "fractional_positions": [[0.3589, 0.8589, 0.0000], [0.8589, 0.6411, 0.0000], [0.6411, 0.1411, 0.0000], [0.1411, 0.3589, 0.0000], [0.1337, 0.6337, 0.5000], [0.6337, 0.8663, 0.5000], [0.8663, 0.3663, 0.5000], [0.3663, 0.1337, 0.5000], [0.0000, 0.0000, 0.0000], [0.5000, 0.5000, 0.0000]]
}



## iii
{
  "formula": "RbBi2As2",
  "functional": "PBE-GGA",
  "state": "relaxed",
  "cell": [[4.7650, 0.0000, 0.0000], [0.0000, 4.7650, 0.0000], [2.3825, 2.3825, 6.9838]],
  "species": ["As", "As", "Bi", "Bi", "Rb"],
  "fractional_positions": [[0.4131, 0.4131, 0.1737], [0.5869, 0.5869, 0.8263], [0.7500, 0.2500, 0.5000], [0.2500, 0.7500, 0.5000], [0.0000, 0.0000, 0.0000]]
}



In terms of stability, i leads; the second structure lies 115 meV/atom higher.



## i
{
  "formula": "RbBiAsSe2",
  "functional": "PBE-GGA",
  "state": "relaxed",
  "cell": [[-0.7981, -5.6156, 0.6952], [5.1340, -1.0138, -2.2955], [2.3268, 0.2973, 5.0728]],
  "species": ["As", "Se", "Se", "Bi", "Rb"],
  "fractional_positions": [[0.0000, 0.0000, 0.5000], [0.0000, 0.5000, 0.0000], [0.5000, 0.0000, 0.0000], [0.0000, 0.0000, 0.0000], [0.5000, 0.5000, 0.5000]]
}



## ii
{
  "formula": "RbBiAsSe2",
  "functional": "PBE-GGA",
  "state": "relaxed",
  "cell": [[-0.8337, 3.4714, -4.4278], [0.0165, -4.4746, -3.5112], [-5.4499, -0.5109, 0.6255]],
  "species": ["As", "Se", "Se", "Bi", "Rb"],
  "fractional_positions": [[0.0000, 0.0000, 0.5000], [0.0000, 0.5000, 0.0000], [0.5000, 0.0000, 0.0000], [0.5000, 0.5000, 0.5000], [0.0000, 0.0000, 0.0000]]
}



In terms of stability, i leads; the second structure lies 1194 meV/atom higher.